Here is a relaxed KGaGe2Mo crystal from Alexandria. Energies are from GGA-PBE.

* SG: P4/mmm (123)

Lattice parameters (Å, degrees): 4.9389 4.9389 5.0481 90.00 90.00 90.00
Last column: nearest neighbours and their distance in Å.
Atoms (fractional coordinates):
Mo: 0.0000 0.0000 0.0000  4 Ge 2.47, 2 Ga 2.52
K: 0.5000 0.5000 0.5000  4 Ga 3.49, 8 Ge 3.53
Ge: 0.0000 0.5000 0.0000  2 Mo 2.47
Ge: 0.5000 0.0000 0.0000  2 Mo 2.47
Ga: 0.0000 0.0000 0.5000  2 Mo 2.52

Here is a relaxed KGa2GeMo crystal from Alexandria. Energies are from GGA-PBE.

* SG: P4/mmm (123)

Lattice parameters (Å, degrees): 5.0168 5.0168 4.9139 90.00 90.00 90.00
Last column: nearest neighbours and their distance in Å.
Atoms (fractional coordinates):
K: 0.5000 0.5000 0.5000  8 Ga 3.51, 4 Ge 3.55
Ga: 0.0000 0.5000 0.0000  2 Mo 2.51
Ga: 0.5000 0.0000 0.0000  2 Mo 2.51
Ge: 0.0000 0.0000 0.5000  2 Mo 2.46
Mo: 0.0000 0.0000 0.0000  2 Ge 2.46, 4 Ga 2.51

Here is a relaxed K2Na4GaGe2 crystal from Alexandria. Energies are from GGA-PBE.

* SG: C2/m (12)

Lattice parameters (Å, degrees): 5.3885 7.9921 7.9921 56.85 73.79 73.79
Last column: nearest neighbours and their distance in Å.
Atoms (fractional coordinates):
Na: 0.8408 0.3463 0.9248  3 Ge 3.17-3.30, 1 Na 3.21, 3 K 3.42-3.49, 1 Ga 3.43
Na: 0.1592 0.6537 0.0752  3 Ge 3.17-3.30, 1 Na 3.21, 3 K 3.42-3.49, 1 Ga 3.43
Na: 0.8408 0.9248 0.3463  3 Ge 3.17-3.30, 1 Na 3.21, 3 K 3.42-3.49, 1 Ga 3.43
Na: 0.1592 0.0752 0.6537  3 Ge 3.17-3.30, 1 Na 3.21, 3 K 3.42-3.49, 1 Ga 3.43
Ge: 0.7006 0.8198 0.8198  1 Ga 2.42
Ge: 0.2994 0.1802 0.1802  1 Ga 2.42
K: 0.6645 0.3625 0.3625  6 Na 3.42-3.49, 2 Ge 3.56-3.69, 1 K 3.71
K: 0.3355 0.6375 0.6375  6 Na 3.42-3.49, 2 Ge 3.56-3.69, 1 K 3.71
Ga: 0.5000 0.0000 0.0000  2 Ge 2.42

Here is a relaxed K2NaGa4Ge3 crystal from Alexandria. Energies are from GGA-PBE.

* SG: P-4m2 (115)

Lattice parameters (Å, degrees): 4.6632 4.6632 11.1222 90.00 90.00 90.00
Last column: nearest neighbours and their distance in Å.
Atoms (fractional coordinates):
Ga: 0.0000 0.0000 0.0000  4 Ge 2.70
Ga: 0.0000 0.5000 0.3555  3 Ge 2.59-2.83, 2 Na 2.83
Ga: 0.5000 0.0000 0.6445  3 Ge 2.59-2.83, 2 Na 2.83
Ga: 0.5000 0.5000 0.0000  4 Ge 2.70
Ge: 0.0000 0.5000 0.1222  5 Ga 2.59-2.70
Ge: 0.5000 0.0000 0.8778  5 Ga 2.59-2.70
Ge: 0.0000 0.0000 0.5000  4 Ga 2.83
K: 0.0000 0.5000 0.7617  8 Ga 3.53-3.55, 6 Ge 3.54-3.73, 2 Na 3.73
K: 0.5000 0.0000 0.2383  8 Ga 3.53-3.55, 6 Ge 3.54-3.73, 2 Na 3.73
Na: 0.5000 0.5000 0.5000  4 Ga 2.83

Here is a relaxed KNa2Ga2Ge2 crystal from Alexandria. Energies are from GGA-PBE.

* SG: C2/m (12)

Lattice parameters (Å, degrees): 4.2534 5.5846 9.9051 112.33 90.00 112.38
Last column: nearest neighbours and their distance in Å.
Atoms (fractional coordinates):
Ge: 0.2240 0.4481 0.7529  2 Ga 2.48
Ge: 0.7760 0.5519 0.2471  2 Ga 2.48
Ga: 0.3926 0.7851 0.3608  2 Ge 2.48, 1 Ga 2.74
Ga: 0.6074 0.2149 0.6392  2 Ge 2.48, 1 Ga 2.74
K: 0.0000 0.0000 0.0000  6 Ge 3.59-4.00, 2 Na 3.60
Na: 0.1155 0.2310 0.3960  5 Ga 3.02-3.24, 4 Ge 3.20-3.38
Na: 0.8845 0.7690 0.6040  5 Ga 3.02-3.24, 4 Ge 3.20-3.38

Here is a relaxed KGa2GeO6 crystal from Alexandria. Energies are from GGA-PBE.

* SG: C2/c (15)
* formation energy without anion corrections: -1598 meV per atom

Lattice parameters (Å, degrees): 6.1410 7.5002 7.5002 105.15 76.55 76.55
Last column: nearest neighbours and their distance in Å.
Atoms (fractional coordinates):
Ga: 0.8705 0.5485 0.7233  4 O 1.84-1.95
Ga: 0.6295 0.2767 0.4515  4 O 1.84-1.95
Ga: 0.3705 0.7233 0.5485  4 O 1.84-1.95
Ga: 0.1295 0.4515 0.2767  4 O 1.84-1.95
Ge: 0.7500 0.8024 0.1976  4 O 1.75-1.78
Ge: 0.2500 0.1976 0.8024  4 O 1.75-1.78
O: 0.2684 0.2435 0.0432  1 Ge 1.78, 1 Ga 1.87
O: 0.5868 0.5743 0.6448  2 Ga 1.93-1.95
O: 0.2316 0.9568 0.7565  1 Ge 1.78, 1 Ga 1.87
O: 0.0868 0.6448 0.5743  2 Ga 1.93-1.95
O: 0.4829 0.7937 0.3370  1 Ge 1.75, 1 Ga 1.84
O: 0.7316 0.7565 0.9568  1 Ge 1.78, 1 Ga 1.87
O: 0.0171 0.6630 0.2063  1 Ge 1.75, 1 Ga 1.84
O: 0.4132 0.4257 0.3552  2 Ga 1.93-1.95
O: 0.9132 0.3552 0.4257  2 Ga 1.93-1.95
O: 0.5171 0.2063 0.6630  1 Ge 1.75, 1 Ga 1.84
O: 0.7684 0.0432 0.2435  1 Ge 1.78, 1 Ga 1.87
O: 0.9829 0.3370 0.7937  1 Ge 1.75, 1 Ga 1.84
K: 0.7500 0.1000 0.9000  6 O 2.69-2.74
K: 0.2500 0.9000 0.1000  6 O 2.69-2.74

Here is a relaxed K2Ga4Ge3Pd crystal from Alexandria. Energies are from GGA-PBE.

* SG: P-4m2 (115)

Lattice parameters (Å, degrees): 4.5682 4.5682 10.6838 90.00 90.00 90.00
Last column: nearest neighbours and their distance in Å.
Atoms (fractional coordinates):
K: 0.5000 0.0000 0.2512  6 Ge 3.48-3.50, 8 Ga 3.50-3.52, 2 Pd 3.50
K: 0.0000 0.5000 0.7488  6 Ge 3.48-3.50, 8 Ga 3.50-3.52, 2 Pd 3.50
Ga: 0.5000 0.5000 0.0000  4 Ge 2.68
Ga: 0.0000 0.0000 0.0000  4 Ge 2.68
Ga: 0.5000 0.0000 0.6221  2 Pd 2.63, 3 Ge 2.63-2.64
Ga: 0.0000 0.5000 0.3779  2 Pd 2.63, 3 Ge 2.63-2.64
Ge: 0.5000 0.0000 0.8694  5 Ga 2.64-2.68
Ge: 0.0000 0.0000 0.5000  4 Ga 2.63
Ge: 0.0000 0.5000 0.1306  5 Ga 2.64-2.68
Pd: 0.5000 0.5000 0.5000  4 Ga 2.63

Here is a relaxed KGaGe2Pd crystal from Alexandria. Energies are from GGA-PBE.

* SG: I-4m2 (119)

Lattice parameters (Å, degrees): 4.3587 4.3587 6.3989 109.91 109.91 90.00
Last column: nearest neighbours and their distance in Å.
Atoms (fractional coordinates):
Ga: 0.7500 0.2500 0.5000  4 Ge 2.61
Ge: 0.3776 0.3776 0.7552  2 Ga 2.61, 2 Pd 2.61, 1 Ge 2.75
Ge: 0.6224 0.6224 0.2448  2 Pd 2.61, 2 Ga 2.61, 1 Ge 2.75
Pd: 0.2500 0.7500 0.5000  4 Ge 2.61
K: 0.0000 0.0000 0.0000  8 Ge 3.37, 4 Pd 3.55, 4 Ga 3.55

| no. | E_tot (hartree per atom) |
| --- | --- |
| 1 | -0.1790 |
| 2 | -0.1669 |
| 3 | -0.0826 |
| 4 | -0.1111 |
| 5 | -0.1027 |
| 6 | -0.2113 |
| 7 | -0.1295 |
| 8 | -0.1452 |